This record from Alexandria via LeMat-Bulk describes an optimized crystal structure of LiCu6OF11. The functional is GGA-PBEsol.

```
19
Lattice="-0.861 -4.195 1.935 -2.253 -2.256 -4.595 7.067 -3.381 -2.219" Properties=species:S:1:pos:R:3 pbc="T T T"
Li -0.829 -6.437 -3.414
Cu 6.838 -3.379 -2.190
Cu -1.559 -3.334 -1.375
Cu 1.434 -1.937 -2.292
Cu 0.683 -4.341 -3.393
Cu 3.808 -4.756 -1.319
Cu 3.293 -3.841 -4.609
O 0.034 -3.104 -2.261
F -0.689 -4.313 0.063
F 1.637 -1.734 -0.323
F -1.899 -5.231 -2.523
F 2.098 -4.928 -0.408
F 0.699 -6.121 -2.359
F 2.904 -3.762 -2.702
F 1.829 -5.121 -4.696
F 3.844 -6.772 -2.554
F 5.460 -4.671 -2.332
F 2.437 -8.056 -4.591
F 4.515 -5.663 -4.866
```

Computed properties:
As for the density of states at the Fermi level: 6.9 states/eV/cell. The value obtained for the formation energy (no corrections) is -1486 meV per atom.